The following is a PBE-GGA calculation of ReAgHg2 after structural relaxation, from Alexandria.

crystal system	orthorhombic
energy above the lowest structure with this stoichiometry	70	meV/atom
V	76.8	Å³/f.u.

abc: 2.8347 2.8347 10.3303
angles: 90.00 90.00 112.34
Atoms (fractional coordinates):
1 Re 0.0000 0.0000 0.5094
2 Hg 0.0000 0.0000 0.9854
3 Hg 0.5000 0.5000 0.2702
4 Ag 0.5000 0.5000 0.7350